Material: NaSrTe2N
Method: DFT, PBE
State: relaxed

Output
**Relative energy among the computed polymorphs**: 0.000 eV per atom
**Fermi-level density of states**: 0.7956 states/eV/atom

Unit cell a=5.737 b=5.737 c=4.612 alpha=90.00 beta=90.00 gamma=90.00
Space group P4/mmm (No. 123)
Inequivalent atoms, fractional coordinates:
1 Na 0.000 0.000 0.000 [1 per cell]
2 Sr 0.500 0.500 0.500 [1 per cell]
3 Te 0.000 0.500 0.000 [2 per cell]
4 N 0.000 0.000 0.500 [1 per cell]

=====

Material: NaSr3U2N6
Method: DFT, PBE
State: relaxed

Output
**Fermi-level density of states**: 0.4078 states/eV/atom

Unit cell a=15.192 b=3.660 c=7.323 alpha=90.00 beta=104.56 gamma=90.00
Space group C2/m (No. 12)
Inequivalent atoms, fractional coordinates:
1 Na 0.000 0.000 0.000 [2 per cell]
2 Sr 0.000 0.000 0.500 [2 per cell]
3 Sr 0.157 0.500 0.843 [4 per cell]
4 U 0.168 0.500 0.325 [4 per cell]
5 N 0.032 0.500 0.278 [4 per cell]
6 N 0.173 0.000 0.132 [4 per cell]
7 N 0.186 0.000 0.566 [4 per cell]

=====

Material: NaSrU4N8
Method: DFT, PBE
State: relaxed

Output
**Fermi-level density of states**: 0.6772 states/eV/atom

Unit cell a=6.9858 b=6.9858 c=16.2696 alpha=90.00 beta=90.00 gamma=120.00
Space group R3m (No. 160, hexagonal axes)
Inequivalent atoms, fractional coordinates:
1 Na 0.0000 0.0000 0.0000 [3 per cell]
2 Sr 0.0000 0.0000 0.3838 [3 per cell]
3 U 0.0000 0.0000 0.6122 [3 per cell]
4 U 0.1691 0.3382 0.8335 [9 per cell]
5 N 0.0000 0.0000 0.2306 [3 per cell]
6 N 0.0000 0.0000 0.7577 [3 per cell]
7 N 0.0486 0.5243 0.7735 [9 per cell]
8 N 0.1753 0.3506 0.5678 [9 per cell]

=====

Material: NaSr2WN4
Method: DFT, PBE
State: relaxed

Output
**Fermi-level density of states**: 0.6636 states/eV/atom

Unit cell a=8.164 b=6.499 c=5.858 alpha=90.00 beta=90.00 gamma=90.00
Space group Pmn2_1 (No. 31)
Inequivalent atoms, fractional coordinates:
1 Na 0.000 0.174 0.000 [2 per cell]
2 Sr 0.248 0.297 0.496 [4 per cell]
3 W 0.000 0.819 0.515 [2 per cell]
4 N 0.000 0.089 0.397 [2 per cell]
5 N 0.000 0.843 0.832 [2 per cell]
6 N 0.196 0.679 0.434 [4 per cell]

=====

Material: NaSrWN3
Method: DFT, PBE
State: relaxed

Unit cell a=5.863 b=11.188 c=5.542 alpha=90.00 beta=101.91 gamma=90.00
Space group C2/c (No. 15)
Inequivalent atoms, fractional coordinates:
1 Na 0.000 0.072 0.250 [4 per cell]
2 Sr 0.000 0.243 0.750 [4 per cell]
3 W 0.000 0.449 0.250 [4 per cell]
4 N 0.000 0.282 0.250 [4 per cell]
5 N 0.212 0.454 0.989 [8 per cell]

=====

Material: NaSr2ZnN2
Method: DFT, PBE
State: relaxed

Output
**Fermi-level density of states**: 0.3149 states/eV/atom

Unit cell a=5.290 b=9.009 c=5.291 alpha=90.00 beta=90.00 gamma=90.00
Space group Pnnm (No. 58)
Inequivalent atoms, fractional coordinates:
1 Na 0.000 0.000 0.000 [2 per cell]
2 Sr 0.001 0.250 0.500 [4 per cell]
3 Zn 0.000 0.500 0.000 [2 per cell]
4 N 0.001 0.291 0.000 [4 per cell]

=====

Material: NaSr2ZnN
Method: DFT, PBE
State: relaxed

Output
**Fermi-level density of states**: 0.3895 states/eV/atom

Unit cell a=5.237 b=5.237 c=4.875 alpha=90.00 beta=90.00 gamma=90.00
Space group P4/mmm (No. 123)
Inequivalent atoms, fractional coordinates:
1 Na 0.000 0.000 0.000 [1 per cell]
2 Sr 0.000 0.500 0.500 [2 per cell]
3 Zn 0.500 0.500 0.000 [1 per cell]
4 N 0.000 0.000 0.500 [1 per cell]

=====

Material: Na2SrZnN
Method: DFT, PBE
State: relaxed

Output
**Fermi-level density of states**: 0.5878 states/eV/atom

Unit cell a=6.693 b=6.693 c=4.353 alpha=90.00 beta=90.00 gamma=90.00
Space group P4/mmm (No. 123)
Inequivalent atoms, fractional coordinates:
1 Na 0.000 0.500 0.000 [2 per cell]
2 Sr 0.000 0.000 0.000 [1 per cell]
3 Zn 0.500 0.500 0.500 [1 per cell]
4 N 0.000 0.000 0.500 [1 per cell]

=====

Material: Na6TaN4
Method: DFT, PBE
State: relaxed

Output
**Fermi-level density of states**: 0.6281 states/eV/atom

Unit cell a=7.642 b=7.642 c=5.840 alpha=90.00 beta=90.00 gamma=90.00
Space group P4_2/nmc (No. 137, origin choice 2)
Inequivalent atoms, fractional coordinates:
1 Na 0.045 0.545 0.250 [8 per cell]
2 Na 0.250 0.250 0.127 [4 per cell]
3 Ta 0.250 0.750 0.750 [2 per cell]
4 N 0.028 0.750 0.573 [8 per cell]

=====

Material: NaTaN
Method: DFT, PBE
State: relaxed

Output
**Relative energy among the computed polymorphs**: 0.126 eV per atom
**Fermi-level density of states**: 0.6261 states/eV/atom

Unit cell a=3.005 b=3.005 c=5.351 alpha=90.00 beta=90.00 gamma=90.00
Space group P4/mmm (No. 123)
Inequivalent atoms, fractional coordinates:
1 Na 0.000 0.000 0.000 [1 per cell]
2 Ta 0.500 0.500 0.500 [1 per cell]
3 N 0.000 0.000 0.500 [1 per cell]

=====

Material: NaTa3N
Method: DFT, PBE
State: relaxed

Output
**Relative energy among the computed polymorphs**: 3.226 eV per atom
**Fermi-level density of states**: 1.2991 states/eV/atom

Unit cell a=4.613 b=4.613 c=4.613 alpha=90.00 beta=90.00 gamma=90.00
Space group Pm-3m (No. 221)
Inequivalent atoms, fractional coordinates:
1 Na 0.000 0.000 0.000 [1 per cell]
2 Ta 0.000 0.000 0.500 [3 per cell]
3 N 0.500 0.500 0.500 [1 per cell]

=====

Material: Na3Ta2N4
Method: DFT, PBE
State: relaxed

Output
**Fermi-level density of states**: 0.2565 states/eV/atom

Unit cell a=16.397 b=7.275 c=6.222 alpha=90.00 beta=95.91 gamma=90.00
Space group C2/c (No. 15)
Inequivalent atoms, fractional coordinates:
1 Na 0.000 0.076 0.250 [4 per cell]
2 Na 0.137 0.359 0.556 [8 per cell]
3 Ta 0.191 0.113 0.046 [8 per cell]
4 N 0.152 0.076 0.334 [8 per cell]
5 N 0.190 0.364 0.931 [8 per cell]

=====

no.,DFT total energy (eV per cell),magnetization (μB/f.u.),uncorrected formation energy (meV/atom)
1,-16.32,3.0,257
2,-182.49,1.0,-1030
3,-390.31,3.1,-1096
4,-111.80,1.0,-620
5,-179.50,0.0,-657
6,-49.20,0.0,-332
7,-15.08,0.0,-160
8,-10.27,0.0,730
9,-111.56,1.0,-247
10,-22.58,0.0,-362
11,-28.23,0.0,3394
12,-267.71,0.0,-663